This record from Alexandria via LeMat-Bulk describes an optimized crystal structure of CrGePdO. The functional is GGA+U.

abc: 3.6281 3.0487 11.5587
angles: 90.00 90.00 90.00
Closest atoms and distances in Å follow each position.
Sites, in units of the cell vectors:
Cr 0.0000 0.5000 0.3764  2 O 1.81
Cr 0.5000 0.0000 0.8764  2 O 1.81
Ge 0.0000 0.0000 0.1722  4 Pd 2.56, 2 Cr 2.81
Ge 0.5000 0.5000 0.6722  4 Pd 2.56, 2 Cr 2.81
Pd 0.0000 0.0000 0.5894  4 Ge 2.56
Pd 0.5000 0.5000 0.0894  4 Ge 2.56
O 0.0000 0.0000 0.8790  2 Cr 1.81
O 0.5000 0.5000 0.3790  2 Cr 1.81

## Properties
Space-group type: Imm2 (44)
Distance to the lowest polymorph of the same formula, kJ per mole of atoms: 28.4
VASP energy, eV per atom: -6.016